BeTlHg2 | PBE | relaxed

Geometry as POSCAR:
```
BeTlHg2
1.0
3.7229 0.0000 0.0000
0.0000 2.4042 5.5631
0.0000 -2.4042 5.5631
Be Tl Hg
1 1 2
Direct
0.0000 0.0000 0.0000
0.5000 0.8180 0.8180
0.0000 0.4678 0.4678
0.5000 0.1432 0.1432
```

* formation energy: 295 meV/atom
* D(E_F): 1.098 states/eV/f.u.
* space-group type: Amm2, No. 38
* distance to the lowest polymorph of the same formula: 23 meV/atom

BeTlHg2 | PBE | relaxed

Geometry as POSCAR:
```
BeTlHg2
1.0
0.0000 3.5995 3.5995
3.5995 0.0000 3.5995
3.5995 3.5995 0.0000
Be Tl Hg
1 1 2
Direct
0.0000 0.0000 0.0000
0.7500 0.7500 0.7500
0.2500 0.2500 0.2500
0.5000 0.5000 0.5000
```

* formation energy: 534 meV/atom
* D(E_F): 2.037 states/eV/f.u.
* space-group type: F-43m, No. 216
* distance to the lowest polymorph of the same formula: 262 meV/atom

Be2TlHg | PBE | relaxed

Geometry as POSCAR:
```
Be2TlHg
1.0
4.5474 0.0000 0.0000
0.0000 4.5474 0.0000
0.0000 0.0000 3.3485
Be Tl Hg
2 1 1
Direct
0.0000 0.5000 0.0000
0.5000 0.0000 0.0000
0.0000 0.0000 0.5000
0.5000 0.5000 0.5000
```

* formation energy: 760 meV/atom
* D(E_F): 0.799 states/eV/f.u.
* space-group type: P4/mmm, No. 123
* distance to the lowest polymorph of the same formula: 414 meV/atom

BeTl2Hg | PBE | relaxed

Geometry as POSCAR:
```
BeTl2Hg
1.0
-1.6023 2.1771 6.7701
1.6023 -2.1771 6.7701
1.6023 2.1771 -6.7701
Be Tl Hg
1 2 1
Direct
0.0000 0.0000 0.0000
0.1761 0.6761 0.5000
0.8239 0.3239 0.5000
0.5000 0.5000 0.0000
```

* formation energy: 333 meV/atom
* D(E_F): 1.345 states/eV/f.u.
* space-group type: Immm, No. 71
* distance to the lowest polymorph of the same formula: 22 meV/atom

Be2TlHg | PBE | relaxed

Geometry as POSCAR:
```
Be2TlHg
1.0
1.4847 -3.0705 0.0000
1.4847 3.0705 0.0000
0.0000 0.0000 8.3462
Be Tl Hg
2 1 1
Direct
0.0000 0.0000 0.2392
0.0000 0.0000 0.7608
0.5000 0.5000 0.5000
0.5000 0.5000 0.0000
```

* formation energy: 714 meV/atom
* D(E_F): 1.329 states/eV/f.u.
* space-group type: Cmmm, No. 65
* distance to the lowest polymorph of the same formula: 367 meV/atom

Be2TlHg | PBE | relaxed

Geometry as POSCAR:
```
Be2TlHg
1.0
-1.8226 1.8226 5.5301
1.8226 -1.8226 5.5301
1.8226 1.8226 -5.5301
Be Tl Hg
2 1 1
Direct
0.0000 0.0000 0.0000
0.7500 0.2500 0.5000
0.5000 0.5000 0.0000
0.2500 0.7500 0.5000
```

* formation energy: 742 meV/atom
* D(E_F): 1.148 states/eV/f.u.
* space-group type: I-4m2, No. 119
* distance to the lowest polymorph of the same formula: 395 meV/atom

Be2TlHg | PBE | relaxed

Geometry as POSCAR:
```
Be2TlHg
1.0
3.3551 0.0000 0.0000
0.0000 4.2133 0.0000
-0.5351 0.0000 5.5281
Be Tl Hg
2 1 1
Direct
0.2271 0.0000 0.3478
0.7729 0.0000 0.6522
0.0000 0.5000 0.0000
0.5000 0.5000 0.5000
```

* formation energy: 645 meV/atom
* D(E_F): 1.259 states/eV/f.u.
* space-group type: P2/m, No. 10
* distance to the lowest polymorph of the same formula: 299 meV/atom

BeTlHg2 | PBE | relaxed

Geometry as POSCAR:
```
BeTlHg2
1.0
2.7814 -4.9307 0.0000
2.7814 4.9307 0.0000
0.0000 0.0000 3.3525
Be Tl Hg
1 1 2
Direct
0.0000 0.0000 0.0000
0.5000 0.5000 0.0000
0.1869 0.8131 0.5000
0.8131 0.1869 0.5000
```

* formation energy: 299 meV/atom
* D(E_F): 1.115 states/eV/f.u.
* space-group type: Cmmm, No. 65
* distance to the lowest polymorph of the same formula: 27 meV/atom

> Look up the distance to the lowest polymorph of the same formula of the third one.

414 meV/atom